# 1
First-principles (PBE) data for crystalline BeV3Zn at its relaxed geometry, as listed in Alexandria. Values from VASP.

Summary:
ΔH_f (0 K): 0.5785 eV per atom
DFT total energy: -5.893 eV/atom
energy above the most stable polymorph in this dataset: 0 meV/atom
total magnetization: 0.5 μB per cell
symmetry: No. 221

```
&SYSTEM
  ibrav = 0, nat = 5, ntyp = 3
/
ATOMIC_SPECIES
V 50.94 V.upf
Zn 65.41 Zn.upf
Be 9.01 Be.upf
ATOMIC_POSITIONS angstrom
V 0.000 2.055 0.000
Zn 2.055 2.055 2.055
V 0.000 0.000 2.055
Be 0.000 0.000 0.000
V 2.055 0.000 0.000
CELL_PARAMETERS angstrom
4.110 0.000 0.000
0.000 4.110 0.000
0.000 0.000 4.110
```


# 2
First-principles (PBE) data for crystalline ZnInSe2 at its relaxed geometry, as listed in Alexandria. Values from VASP.

Summary:
formation energy (no corrections): 0.135 eV per atom
DFT total energy: -2.610 eV/atom
total magnetization: 0.0 μB per cell
symmetry: No. 123

```
&SYSTEM
  ibrav = 0, nat = 4, ntyp = 3
/
ATOMIC_SPECIES
In 114.82 In.upf
Zn 65.41 Zn.upf
Se 78.96 Se.upf
ATOMIC_POSITIONS angstrom
In 2.064 -2.834 -0.132
Zn -0.300 -3.203 1.400
Se 0.000 0.000 0.000
Se -0.880 -1.980 -1.837
CELL_PARAMETERS angstrom
-3.244 -2.349 -0.305
1.484 -1.612 -3.369
2.645 -4.056 3.105
```


# 3
First-principles (PBE) data for crystalline Tl3InF4 at its relaxed geometry, as listed in Alexandria. Values from VASP.

Summary:
formation energy (no corrections): -1.749 eV per atom
DFT total energy: -3.914 eV/atom
energy above the most stable polymorph in this dataset: 0 meV/atom
total magnetization: 0.0 μB per cell
symmetry: No. 31

```
&SYSTEM
  ibrav = 0, nat = 16, ntyp = 3
/
ATOMIC_SPECIES
In 114.82 In.upf
F 19.00 F.upf
Tl 204.38 Tl.upf
ATOMIC_POSITIONS angstrom
In -2.774 -0.064 7.126
In -0.869 -1.080 0.909
F -4.116 -1.445 5.460
F -6.796 -2.131 3.776
F -0.279 0.645 2.687
F -1.037 2.904 4.880
Tl 0.762 1.087 5.139
F -2.526 0.709 9.539
F -4.940 0.193 7.834
Tl -4.384 -2.241 2.893
Tl -0.951 -2.460 4.679
Tl -1.068 3.543 7.563
F -2.582 0.438 0.776
F 1.405 2.927 7.007
Tl 0.684 -0.244 8.873
Tl -2.707 1.322 3.359
CELL_PARAMETERS angstrom
-5.346 2.446 0.792
-1.781 -4.965 3.317
3.275 4.437 8.399
```


# 4
First-principles (PBE) data for crystalline CuAgAu5 at its relaxed geometry, as listed in Alexandria. Values from VASP.

Summary:
ΔH_f (0 K): 0.2812 eV per atom
DFT total energy: -3.052 eV/atom
energy above the most stable polymorph in this dataset: 219 meV/atom
total magnetization: 0.0 μB per cell
symmetry: No. 44

```
&SYSTEM
  ibrav = 0, nat = 7, ntyp = 3
/
ATOMIC_SPECIES
Au 196.97 Au.upf
Ag 107.87 Ag.upf
Cu 63.55 Cu.upf
ATOMIC_POSITIONS angstrom
Au 1.144 -4.316 3.650
Au 0.939 -5.466 1.095
Ag 2.258 -2.931 1.512
Cu -0.121 -3.153 0.282
Au 3.382 -5.445 2.381
Au 2.358 -0.316 1.278
Au -0.641 -0.675 1.229
CELL_PARAMETERS angstrom
-0.288 -7.507 0.672
4.742 0.041 2.496
-3.889 4.079 1.568
```


# 5
First-principles (PBE) data for crystalline TlHg2GeF8 at its relaxed geometry, as listed in Alexandria. Values from VASP.

Summary:
formation energy (no corrections): -1.801 eV per atom
DFT total energy: -3.680 eV/atom
total magnetization: 0.0 μB per cell
symmetry: No. 2

```
&SYSTEM
  ibrav = 0, nat = 12, ntyp = 4
/
ATOMIC_SPECIES
F 19.00 F.upf
Ge 72.64 Ge.upf
Hg 200.59 Hg.upf
Tl 204.38 Tl.upf
ATOMIC_POSITIONS angstrom
F 1.387 4.865 6.821
F 4.149 0.603 1.730
Ge 0.000 0.000 0.000
F 1.966 3.856 4.093
Hg 2.294 2.201 2.515
F 0.101 4.110 1.771
F 5.436 1.358 6.781
Tl 0.493 0.365 3.824
F 3.570 1.611 4.459
F 3.053 3.617 0.712
Hg 3.243 3.267 6.036
F 2.484 1.851 7.839
CELL_PARAMETERS angstrom
5.026 -0.422 0.501
-0.476 5.160 0.403
0.987 0.730 7.647
```


# 6
First-principles (PBE) data for crystalline SbOs2Pt at its relaxed geometry, as listed in Alexandria. Values from VASP.

Summary:
formation energy (no corrections): 0.385 eV per atom
DFT total energy: -7.771 eV/atom
total magnetization: 0.0 μB per cell
symmetry: No. 6

```
&SYSTEM
  ibrav = 0, nat = 4, ntyp = 3
/
ATOMIC_SPECIES
Os 190.23 Os.upf
Sb 121.76 Sb.upf
Pt 195.08 Pt.upf
ATOMIC_POSITIONS angstrom
Os 0.000 2.909 0.226
Os 1.939 1.444 1.348
Sb 1.939 4.332 4.483
Pt 0.000 2.888 2.886
CELL_PARAMETERS angstrom
3.879 0.000 0.000
0.000 2.910 0.027
0.000 2.865 5.917
```


# 7
First-principles (PBE) data for crystalline LuVSe2 at its relaxed geometry, as listed in Alexandria. Values from VASP.

Summary:
formation energy (no corrections): -0.577 eV per atom
DFT total energy: -5.729 eV/atom
total magnetization: 0.0 μB per cell
symmetry: No. 166

```
&SYSTEM
  ibrav = 0, nat = 4, ntyp = 3
/
ATOMIC_SPECIES
Lu 174.97 Lu.upf
Se 78.96 Se.upf
V 50.94 V.upf
ATOMIC_POSITIONS angstrom
Lu 0.000 0.000 0.000
Se -1.957 -1.441 6.202
V -0.642 0.684 5.827
Se 0.672 2.809 5.452
CELL_PARAMETERS angstrom
-2.844 -0.781 1.872
0.134 -2.529 2.406
1.426 4.679 7.376
```


# 8
First-principles (PBE) data for crystalline SrCa3Nb at its relaxed geometry, as listed in Alexandria. Values from VASP.

Summary:
ΔH_f (0 K): 0.6413 eV per atom
DFT total energy: -2.910 eV/atom
energy above the most stable polymorph in this dataset: 0 meV/atom
total magnetization: 0.7 μB per cell
symmetry: No. 221

```
&SYSTEM
  ibrav = 0, nat = 5, ntyp = 3
/
ATOMIC_SPECIES
Nb 92.91 Nb.upf
Ca 40.08 Ca.upf
Sr 87.62 Sr.upf
ATOMIC_POSITIONS angstrom
Nb 0.000 0.000 0.000
Ca 2.907 0.000 0.000
Sr 2.907 2.907 2.907
Ca 0.000 2.907 0.000
Ca 0.000 0.000 2.907
CELL_PARAMETERS angstrom
5.814 0.000 0.000
0.000 5.814 0.000
0.000 0.000 5.814
```


# 9
First-principles (PBE) data for crystalline Li2CaZr at its relaxed geometry, as listed in Alexandria. Values from VASP.

Summary:
ΔH_f (0 K): 0.5503 eV per atom
DFT total energy: -3.044 eV/atom
energy above the most stable polymorph in this dataset: 294 meV/atom
total magnetization: 0.0 μB per cell
symmetry: No. 216

```
&SYSTEM
  ibrav = 0, nat = 4, ntyp = 3
/
ATOMIC_SPECIES
Li 6.94 Li.upf
Ca 40.08 Ca.upf
Zr 91.22 Zr.upf
ATOMIC_POSITIONS angstrom
Li 2.586 1.493 1.056
Ca 5.172 2.986 2.111
Zr 7.758 4.479 3.167
Li 0.000 0.000 0.000
CELL_PARAMETERS angstrom
5.172 0.000 0.000
2.586 4.479 0.000
2.586 1.493 4.223
```


# 10
First-principles (PBE) data for crystalline MgIrRh2 at its relaxed geometry, as listed in Alexandria. Values from VASP.

Summary:
ΔH_f (0 K): -0.1734 eV per atom
DFT total energy: -6.463 eV/atom
total magnetization: 0.0 μB per cell
symmetry: No. 47

```
&SYSTEM
  ibrav = 0, nat = 4, ntyp = 3
/
ATOMIC_SPECIES
Rh 102.91 Rh.upf
Ir 192.22 Ir.upf
Mg 24.30 Mg.upf
ATOMIC_POSITIONS angstrom
Rh -0.304 2.650 0.544
Ir 1.600 1.225 1.862
Rh -0.005 0.048 0.010
Mg 1.291 3.922 2.415
CELL_PARAMETERS angstrom
-0.276 -0.588 2.711
3.786 0.341 0.459
-0.620 5.394 1.107
```


# 11
First-principles (PBE) data for crystalline ZrRe2Sb at its relaxed geometry, as listed in Alexandria. Values from VASP.

Summary:
formation energy (no corrections): 0.174 eV per atom
DFT total energy: -9.218 eV/atom
total magnetization: 0.0 μB per cell
symmetry: No. 25

```
&SYSTEM
  ibrav = 0, nat = 4, ntyp = 3
/
ATOMIC_SPECIES
Re 186.21 Re.upf
Zr 91.22 Zr.upf
Sb 121.76 Sb.upf
ATOMIC_POSITIONS angstrom
Re 0.001 -0.159 0.009
Re -2.499 -1.303 -0.574
Zr -2.485 -4.340 -0.395
Sb 0.013 -2.797 0.164
CELL_PARAMETERS angstrom
-2.369 0.103 1.932
-2.640 -0.202 -3.227
0.026 -5.666 0.333
```


# 12
First-principles (PBE) data for crystalline CaP2SF at its relaxed geometry, as listed in Alexandria. Values from VASP.

Summary:
formation energy (no corrections): -0.220 eV per atom
DFT total energy: -3.984 eV/atom
energy above the most stable polymorph in this dataset: 0 meV/atom
total magnetization: 0.0 μB per cell
symmetry: No. 123

```
&SYSTEM
  ibrav = 0, nat = 5, ntyp = 4
/
ATOMIC_SPECIES
Ca 40.08 Ca.upf
F 19.00 F.upf
P 30.97 P.upf
S 32.06 S.upf
ATOMIC_POSITIONS angstrom
Ca 2.048 2.048 2.898
F 0.000 0.000 0.000
P 2.048 0.000 0.000
S 0.000 0.000 2.898
P 0.000 2.048 0.000
CELL_PARAMETERS angstrom
4.097 0.000 0.000
0.000 4.097 0.000
0.000 0.000 5.796
```


- Among the records above, which one has the highest total magnetization?
  SrCa3Nb